1.
The following is a GGA-PBE calculation of Li2TcPOs after structural relaxation, from Alexandria.

Computed properties:
Crystal system: tetragonal

Lattice parameters (Å, degrees): 4.154 4.154 4.456 90.00 90.00 90.00
Space group P4/mmm (No. 123)
One atom of each set of equivalent atoms:
1 Li 0.000 0.500 0.000 [2 per cell]
2 Tc 0.000 0.000 0.500 [1 per cell]
3 P 0.000 0.000 0.000 [1 per cell]
4 Os 0.500 0.500 0.500 [1 per cell]

2.
The following is a GGA-PBE calculation of LiPaOs2 after structural relaxation, from Alexandria.

Computed properties:
E above lowest polymorph, eV/atom: 0.000
Crystal system: tetragonal

Lattice parameters (Å, degrees): 4.115 4.115 3.891 90.00 90.00 90.00
Space group P4/mmm (No. 123)
One atom of each set of equivalent atoms:
1 Li 0.000 0.000 0.000 [1 per cell]
2 Pa 0.500 0.500 0.000 [1 per cell]
3 Os 0.000 0.500 0.500 [2 per cell]

3.
The following is a GGA-PBE calculation of LiPaOs4 after structural relaxation, from Alexandria.

Computed properties:
Crystal system: cubic

Lattice parameters (Å, degrees): 7.457 7.457 7.457 90.00 90.00 90.00
Space group F-43m (No. 216)
One atom of each set of equivalent atoms:
1 Li 0.000 0.000 0.000 [4 per cell]
2 Pa 0.250 0.250 0.250 [4 per cell]
3 Os 0.126 0.126 0.626 [16 per cell]

Summary of ΔE_f in eV per formula unit
3.77 -0.40 0.06
(order as listed above)
Summary of E_tot in eV per atom
-5.41 -8.57 -9.38
(order as listed above)